First-principles (GGA-PBE) data for a geometry-optimized NaSrC2 structure, as listed in Alexandria via LeMat-Bulk.

Calculated values
ΔE_f   1.7002 eV per atom
Final energy   -29.30 eV for the cell shown
Size of the total moment   0.000 Bohr magnetons per cell
Excess energy over the best structure of this formula in the dataset   16.6 meV per atom

Cell and atoms, written as extended XYZ:
```
8
Lattice="-1.851 -3.700 0.004 1.332 -0.662 3.861 -6.987 1.188 4.830" Properties=species:S:1:pos:R:3 pbc="T T T"
Na -0.260 -2.181 1.933
Na -2.958 -0.827 5.312
C -2.274 -1.173 1.692
C -5.102 -0.910 6.037
Sr -4.549 -2.346 3.383
C -1.609 -1.504 3.622
Sr 0.000 0.000 0.000
C -6.028 -2.760 6.039
```